A relaxed structure of SrPrAg2S4. Source: Alexandria, functional GGA-PBE.

Summary:
Its final energy is -75.00 eV for the cell shown. The uncorrected formation energy is -8.8 eV/f.u. The mass density comes out at 4.91 g cm⁻³.

a b c (Å): 7.057 7.057 7.768
angles (deg): 90.00 90.00 90.00
Space group I-42m (No. 121)
Unique sites:
Sr1 0.000 0.000 0.000 (multiplicity 2)
Pr1 0.000 0.000 0.500 (multiplicity 2)
Ag1 0.000 0.500 0.250 (multiplicity 4)
S1 0.222 0.222 0.728 (multiplicity 8)